No. 1
Here is a relaxed structure of Mg2MnBr from the Alexandria database. Energies are from GGA-PBE.

CIF file:
```
data_Mg2MnBr
_cell_length_a 7.1932
_cell_length_b 7.1932
_cell_length_c 7.1932
_cell_angle_alpha 90.00
_cell_angle_beta 90.00
_cell_angle_gamma 90.00
_space_group_name_H-M_alt 'F -4 3 m'
_space_group_IT_number 216
_space_group_name_Hall 'F -4 2 3'
loop_
_atom_site_label
_atom_site_type_symbol
_atom_site_fract_x
_atom_site_fract_y
_atom_site_fract_z
Mg1 Mg 0.0000 0.0000 0.0000
Mg2 Mg 0.2500 0.2500 0.2500
Mn1 Mn 0.2500 0.2500 0.7500
Br1 Br 0.0000 0.0000 0.5000
```

Computed properties:
For the energy above the most stable polymorph in this dataset, the calculation gives 0.558 eV/atom. The calculation puts the total magnetization at 16.033 Bohr magnetons per cell. Its raw formation energy is 1.7 eV/f.u.

---

No. 2
Here is a relaxed structure of SmTm2OsN4 from the Alexandria database. Energies are from GGA-PBE.

CIF file:
```
data_SmTm2OsN4
_cell_length_a 3.3913
_cell_length_b 11.5583
_cell_length_c 11.5096
_cell_angle_alpha 90.00
_cell_angle_beta 90.00
_cell_angle_gamma 90.00
_space_group_name_H-M_alt 'C m c m'
_space_group_IT_number 63
_space_group_name_Hall '-C 2c 2'
loop_
_atom_site_label
_atom_site_type_symbol
_atom_site_fract_x
_atom_site_fract_y
_atom_site_fract_z
Sm1 Sm 0.0000 0.1234 0.2500
Tm1 Tm 0.0000 0.3688 0.0408
Os1 Os 0.0000 0.1387 0.7500
N1 N 0.0000 0.0000 0.0000
N2 N 0.0000 0.2656 0.6263
N3 N 0.0000 0.4480 0.2500
```

Computed properties:
The calculation puts the total magnetization at 0.000 Bohr magnetons per cell. Its raw formation energy is -8.1 eV/f.u.

---

No. 3
Here is a relaxed structure of Ba6PtRh2I3 from the Alexandria database. Energies are from GGA-PBE.

CIF file:
```
data_Ba6PtRh2I3
_cell_length_a 8.0227
_cell_length_b 13.8982
_cell_length_c 8.9726
_cell_angle_alpha 90.00
_cell_angle_beta 107.35
_cell_angle_gamma 90.00
_space_group_name_H-M_alt 'C 1 2/m 1'
_space_group_IT_number 12
_space_group_name_Hall '-C 2y'
loop_
_atom_site_label
_atom_site_type_symbol
_atom_site_fract_x
_atom_site_fract_y
_atom_site_fract_z
Ba1 Ba 0.2248 0.0000 0.1983
Ba2 Ba 0.2369 0.3293 0.1987
Pt1 Pt 0.0000 0.5000 0.0000
Rh1 Rh 0.0000 0.1667 0.0000
I1 I 0.0000 0.0000 0.5000
I2 I 0.0000 0.3343 0.5000
```

Computed properties:
The calculation puts the total magnetization at 0.000 Bohr magnetons per cell. Its raw formation energy is -11.0 eV/f.u.